Record 1
VASP calculation (PBE-GGA) on a relaxed structure of Ta2CrCdPd.

Cell lengths 4.9718, 4.7440, 4.9718 Å; angles 90.00, 90.00, 90.00 degrees
With the nearest neighbours (Å) after each atom.
Atoms (fractional coordinates):
1 Cr 0.0000 0.5000 0.0000  2 Cd 2.37
2 Cd 0.0000 0.0000 0.0000  2 Cr 2.37, 4 Ta 2.49
3 Pd 0.5000 0.5000 0.5000  8 Ta 3.44, 4 Cr 3.52
4 Ta 0.0000 0.0000 0.5000  2 Cd 2.49
5 Ta 0.5000 0.0000 0.0000  2 Cd 2.49

Computed properties:
energy of formation from the pure elements: 2091 meV per atom
M_tot: 3.66 μB per formula unit
SG: P4/mmm, No. 123



Record 2
VASP calculation (PBE-GGA) on a relaxed structure of Cs4Pm3SbS8.

Cell lengths 8.4159, 9.4140, 8.4159 Å; angles 116.55, 120.00, 90.00 degrees
With the nearest neighbours (Å) after each atom.
Atoms (fractional coordinates):
1 Cs 0.5000 0.0000 0.0000  6 S 3.54
2 Cs 0.5000 0.0000 0.5000  6 S 3.51
3 Cs 0.0000 0.0000 0.0000  6 S 3.51
4 Cs 0.0000 0.0000 0.5000  6 S 3.51
5 Pm 0.5000 0.5000 0.0000  6 S 2.86
6 Pm 0.5000 0.5000 0.5000  6 S 2.86
7 Pm 0.0000 0.5000 0.5000  6 S 2.86
8 Sb 0.0000 0.5000 0.0000  6 S 2.83
9 S 0.2264 0.6843 0.9579  1 Sb 2.83, 2 Pm 2.86
10 S 0.2263 0.6842 0.4525  1 Sb 2.83, 2 Pm 2.86
11 S 0.2713 0.3140 0.5426  3 Pm 2.86
12 S 0.7316 0.6843 0.9579  1 Sb 2.83, 2 Pm 2.86
13 S 0.2684 0.3157 0.0421  1 Sb 2.83, 2 Pm 2.86
14 S 0.7287 0.6860 0.4574  3 Pm 2.86
15 S 0.7737 0.3158 0.5475  1 Sb 2.83, 2 Pm 2.86
16 S 0.7736 0.3157 0.0421  1 Sb 2.83, 2 Pm 2.86

Computed properties:
M_tot: 0.00 μB per formula unit
SG: R-3m, No. 166
uncorrected formation energy: -1.526 eV per atom



Record 3
VASP calculation (PBE-GGA) on a relaxed structure of LiF.

Cell lengths 5.2803, 5.2803, 3.1538 Å; angles 90.00, 90.00, 90.00 degrees
With the nearest neighbours (Å) after each atom.
Atoms (fractional coordinates):
1 Li 0.3227 0.6773 0.0000  4 F 1.88-1.92
2 Li 0.8227 0.8227 0.5000  4 F 1.88-1.92
3 Li 0.1773 0.1773 0.5000  4 F 1.88-1.92
4 Li 0.6773 0.3227 0.0000  4 F 1.88-1.92
5 F 0.3133 0.3133 0.0000  4 Li 1.88-1.92
6 F 0.8133 0.1867 0.5000  4 Li 1.88-1.92
7 F 0.1867 0.8133 0.5000  4 Li 1.88-1.92
8 F 0.6867 0.6867 0.0000  4 Li 1.88-1.92

Computed properties:
M_tot: 0.00 μB per formula unit
SG: P4_2/mnm, No. 136
ΔE to the lowest computed polymorph: 14 meV per atom
uncorrected formation energy: -2.938 eV per atom



Record 4
VASP calculation (PBE-GGA) on a relaxed structure of AcPaAgGe.

Cell lengths 5.3298, 5.3298, 5.3298 Å; angles 60.00, 60.00, 60.00 degrees
With the nearest neighbours (Å) after each atom.
Atoms (fractional coordinates):
1 Ac 0.5000 0.5000 0.5000  4 Ge 3.26, 4 Ag 3.26
2 Pa 0.0000 0.0000 0.0000  4 Ge 3.26, 4 Ag 3.26
3 Ge 0.7500 0.7500 0.7500  4 Ac 3.26, 4 Pa 3.26
4 Ag 0.2500 0.2500 0.2500  4 Ac 3.26, 4 Pa 3.26

Computed properties:
energy of formation from the pure elements: -24 meV per atom
M_tot: 2.49 μB per formula unit
SG: F-43m, No. 216



What are the V values for these records? In order: 23.453; 30.911; 10.992; 26.764 Å³/atom.